## GaRuNF2 (PBE-GGA)

Data for a geometry-optimized GaRuNF2 structure.

Lattice parameters (Å, degrees): 4.346 4.346 3.731 90.00 90.00 90.00
Fractional coordinates of all 5 atoms:
F: 0.000 0.500 0.000
F: 0.500 0.000 0.000
Ga: 0.500 0.500 0.500
Ru: 0.000 0.000 0.000
N: 0.000 0.000 0.500

- distance to the lowest polymorph of the same formula (eV/f.u.) = 0.00
- uncorrected energy (eV/atom) = -5.47
- D(E_F) (states/eV per atom) = 0.5105
- E_form (uncorrected) (eV per atom) = -0.591
- ρ (kg/m³) = 5250